Here is a relaxed ErSnRh4 crystal from the Alexandria database. Energies are from PBE-GGA.

POSCAR file:
```
ErSnRh4
1.0
0.000 3.730 3.730
3.730 0.000 3.730
3.730 3.730 0.000
Er Sn Rh
1 1 4
Direct
0.000 0.000 0.000 Er
0.250 0.250 0.250 Sn
0.127 0.624 0.624 Rh
0.624 0.127 0.624 Rh
0.624 0.624 0.127 Rh
0.624 0.624 0.624 Rh
```

* space-group type: F-43m
* ΔE_f: -47.3 kJ per mole of atoms
* density: 11.2 g/cm3
* energy above the lowest structure with this stoichiometry: 0 meV per atom
* D(E_F): 0.80 states/eV per atom

---

Here is a relaxed PmHo7Tm12 crystal from the Alexandria database. Energies are from PBE-GGA.

POSCAR file:
```
PmHo7Tm12
1.0
-5.572 5.572 5.572
5.572 -5.572 5.572
5.572 5.572 -5.572
Pm Ho Tm
1 7 12
Direct
0.000 0.000 0.000 Pm
0.000 0.000 0.500 Ho
0.000 0.500 0.000 Ho
0.000 0.500 0.500 Ho
0.500 0.000 0.000 Ho
0.500 0.000 0.500 Ho
0.500 0.500 0.000 Ho
0.500 0.500 0.500 Ho
0.000 0.256 0.744 Tm
0.000 0.744 0.256 Tm
0.256 0.000 0.744 Tm
0.256 0.256 0.511 Tm
0.256 0.511 0.256 Tm
0.256 0.744 0.000 Tm
0.489 0.744 0.744 Tm
0.511 0.256 0.256 Tm
0.744 0.000 0.256 Tm
0.744 0.256 0.000 Tm
0.744 0.489 0.744 Tm
0.744 0.744 0.489 Tm
```

* space-group type: Im-3m
* ΔE_f: 71.4 kJ per mole of atoms
* density: 8.0 g/cm3
* energy above the lowest structure with this stoichiometry: 424 meV per atom
* D(E_F): 1.25 states/eV per atom

---

Here is a relaxed Ti6CuIr crystal from the Alexandria database. Energies are from PBE-GGA.

POSCAR file:
```
Ti6CuIr
1.0
-2.160 2.160 6.825
2.160 -2.160 6.825
2.160 2.160 -6.825
Ti Cu Ir
6 1 1
Direct
0.116 0.616 0.500 Ti
0.250 0.250 0.000 Ti
0.384 0.884 0.500 Ti
0.616 0.116 0.500 Ti
0.750 0.750 0.000 Ti
0.884 0.384 0.500 Ti
0.000 0.000 0.000 Cu
0.500 0.500 0.000 Ir
```

* space-group type: I4/mmm
* ΔE_f: -28.0 kJ per mole of atoms
* density: 7.1 g/cm3
* energy above the lowest structure with this stoichiometry: 0 meV per atom
* D(E_F): 1.08 states/eV per atom

---

Here is a relaxed Y8Ho4Pu crystal from the Alexandria database. Energies are from PBE-GGA.

POSCAR file:
```
Y8Ho4Pu
1.0
5.474 3.160 4.458
-5.474 3.160 4.458
0.000 -6.321 4.458
Y Ho Pu
8 4 1
Direct
0.244 0.244 0.755 Y
0.244 0.755 0.244 Y
0.245 0.245 0.245 Y
0.245 0.756 0.756 Y
0.755 0.244 0.244 Y
0.755 0.755 0.755 Y
0.756 0.245 0.756 Y
0.756 0.756 0.245 Y
0.000 0.000 0.000 Ho
0.000 0.500 0.500 Ho
0.500 0.000 0.500 Ho
0.500 0.500 0.000 Ho
0.500 0.500 0.500 Pu
```

* space-group type: R-3m
* ΔE_f: 50.3 kJ per mole of atoms
* density: 5.8 g/cm3
* D(E_F): 1.54 states/eV per atom

---

Here is a relaxed Sc2OsPb crystal from the Alexandria database. Energies are from PBE-GGA.

POSCAR file:
```
Sc2OsPb
1.0
3.263 0.000 0.000
0.000 3.254 0.000
-0.016 0.000 7.866
Sc Os Pb
2 1 1
Direct
0.001 0.000 0.197 Sc
0.999 0.000 0.803 Sc
0.500 0.500 0.000 Os
0.500 0.500 0.500 Pb
```

* space-group type: P2/m
* ΔE_f: -43.6 kJ per mole of atoms
* density: 9.7 g/cm3
* D(E_F): 0.31 states/eV per atom

---

Here is a relaxed Ba6NiH2 crystal from the Alexandria database. Energies are from PBE-GGA.

POSCAR file:
```
Ba6NiH2
1.0
7.616 0.000 0.000
0.000 7.204 0.000
-7.583 0.000 13.155
Ba Ni H
12 2 4
Direct
0.011 0.236 0.334 Ba
0.011 0.264 0.834 Ba
0.341 0.728 0.999 Ba
0.341 0.772 0.499 Ba
0.344 0.234 0.667 Ba
0.344 0.266 0.167 Ba
0.656 0.734 0.833 Ba
0.656 0.766 0.333 Ba
0.659 0.228 0.501 Ba
0.659 0.272 0.001 Ba
0.989 0.736 0.166 Ba
0.989 0.764 0.666 Ba
0.000 0.000 0.500 Ni
0.000 0.500 0.000 Ni
0.341 0.002 0.340 H
0.341 0.498 0.840 H
0.659 0.502 0.160 H
0.659 0.998 0.660 H
```

* space-group type: P2_1/c
* uncorrected energy: -50.1 eV for the cell shown
* density: 4.1 g/cm3
* D(E_F): 0.80 states/eV per atom

---

Here is a relaxed AcPr4In crystal from the Alexandria database. Energies are from PBE-GGA.

POSCAR file:
```
AcPr4In
1.0
7.189 0.000 0.000
0.000 5.804 0.000
0.000 0.000 10.291
Ac Pr In
2 8 2
Direct
0.000 0.249 0.000 Ac
0.500 0.751 0.500 Ac
0.000 0.246 0.643 Pr
0.000 0.750 0.209 Pr
0.241 0.749 0.825 Pr
0.259 0.251 0.325 Pr
0.500 0.250 0.709 Pr
0.500 0.754 0.143 Pr
0.741 0.251 0.325 Pr
0.759 0.749 0.825 Pr
0.000 0.746 0.517 In
0.500 0.254 0.017 In
```

* space-group type: Pmn2_1
* ΔE_f: -9.0 kJ per mole of atoms
* density: 7.0 g/cm3
* energy above the lowest structure with this stoichiometry: 42 meV per atom
* D(E_F): 1.43 states/eV per atom

---

Here is a relaxed GaMo crystal from the Alexandria database. Energies are from PBE-GGA.

POSCAR file:
```
GaMo
1.0
7.046 0.000 0.000
0.000 7.046 0.000
0.000 0.000 7.046
Ga Mo
6 6
Direct
0.000 0.250 0.500 Ga
0.000 0.750 0.500 Ga
0.250 0.500 0.000 Ga
0.500 0.000 0.250 Ga
0.500 0.000 0.750 Ga
0.750 0.500 0.000 Ga
0.000 0.500 0.250 Mo
0.000 0.500 0.750 Mo
0.250 0.000 0.500 Mo
0.500 0.250 0.000 Mo
0.500 0.750 0.000 Mo
0.750 0.000 0.500 Mo
```

* space-group type: Pm-3n
* ΔE_f: 167.4 kJ per mole of atoms
* density: 4.7 g/cm3
* energy above the lowest structure with this stoichiometry: 1823 meV per atom
* D(E_F): 1.37 states/eV per atom

---

Here is a relaxed CrSb crystal from the Alexandria database. Energies are from PBE-GGA.

POSCAR file:
```
CrSb
1.0
3.236 0.000 0.000
0.000 3.236 0.000
0.000 0.000 3.236
Cr Sb
1 1
Direct
0.000 0.000 0.000 Cr
0.500 0.500 0.500 Sb
```

* formation energy from raw total energies: 41.44 kJ per mole of atoms
* space-group type: Pm-3m
* density: 8.5 g/cm3
* D(E_F): 0.30 states/eV per atom

---

Here is a relaxed CrPbS2 crystal from the Alexandria database. Energies are from PBE-GGA.

POSCAR file:
```
CrPbS2
1.0
6.167 0.000 0.000
0.000 3.307 0.000
-2.724 0.000 8.188
Cr Pb S
2 2 4
Direct
0.008 0.250 0.137 Cr
0.992 0.750 0.863 Cr
0.361 0.750 0.683 Pb
0.639 0.250 0.317 Pb
0.131 0.750 0.334 S
0.250 0.250 0.990 S
0.750 0.750 0.010 S
0.869 0.250 0.666 S
```

* formation energy from raw total energies: -41.12 kJ per mole of atoms
* space-group type: P2_1/m
* density: 6.4 g/cm3
* D(E_F): 0.61 states/eV per atom

---

Here is a relaxed SmGdAlIn crystal from the Alexandria database. Energies are from PBE-GGA.

POSCAR file:
```
SmGdAlIn
1.0
0.000 3.739 3.739
3.739 0.000 3.739
3.739 3.739 0.000
Sm Gd Al In
1 1 1 1
Direct
0.000 0.000 0.000 Sm
0.500 0.500 0.500 Gd
0.250 0.250 0.250 Al
0.750 0.750 0.750 In
```

* space-group type: F-43m
* ΔE_f: -40.3 kJ per mole of atoms
* density: 7.1 g/cm3
* D(E_F): 0.56 states/eV per atom

---

Here is a relaxed RbTi2Cr crystal from the Alexandria database. Energies are from PBE-GGA.

POSCAR file:
```
RbTi2Cr
1.0
0.000 4.996 4.996
4.996 0.000 4.996
4.996 4.996 0.000
Rb Ti Cr
2 4 2
Direct
0.125 0.125 0.125 Rb
0.875 0.875 0.875 Rb
0.000 0.500 0.500 Ti
0.500 0.000 0.500 Ti
0.500 0.500 0.000 Ti
0.500 0.500 0.500 Ti
0.375 0.375 0.375 Cr
0.625 0.625 0.625 Cr
```

* space-group type: Fd-3m
* ΔE_f: 115.0 kJ per mole of atoms
* density: 3.1 g/cm3
* energy above the lowest structure with this stoichiometry: 0 meV per atom
* D(E_F): 1.37 states/eV per atom